[1]
Na3SbO: relaxed, GGA-PBE.

Structure (POSCAR):
```
Na3SbO
1.0
6.774 -0.021 0.083
3.368 5.841 0.017
3.458 -1.979 5.558
Na Sb O
6 2 2
direct
0.546 0.183 0.971
0.881 0.014 0.508
0.066 0.176 0.971
0.360 0.020 0.508
0.359 0.531 0.509
0.068 0.666 0.971
0.876 0.516 0.489
0.550 0.680 0.990
0.396 0.257 0.717
0.031 0.939 0.762
```

Output
space group = P-1
V = 21.83 Å³ per atom
formation energy from raw total energies = -0.703 eV/atom
offset from the most stable computed form = 0.000 eV/f.u.
energy = -3.31 eV/atom

---

[2]
NaSbO3: relaxed, GGA-PBE.

Structure (POSCAR):
```
NaSbO3
1.0
7.341 0.000 0.000
3.671 6.358 0.000
3.671 2.119 5.994
Na Sb O
4 4 12
direct
0.625 0.625 0.125
0.625 0.125 0.625
0.125 0.625 0.625
0.625 0.625 0.625
0.125 0.125 0.625
0.125 0.125 0.125
0.125 0.625 0.125
0.625 0.125 0.125
0.797 0.203 0.797
0.203 0.797 0.797
0.453 0.453 0.047
0.203 0.797 0.203
0.047 0.453 0.453
0.797 0.797 0.203
0.203 0.203 0.797
0.047 0.453 0.047
0.453 0.047 0.453
0.797 0.203 0.203
0.047 0.047 0.453
0.453 0.047 0.047
```

Output
space group = Fd-3m
V = 13.99 Å³ per atom
formation energy from raw total energies = -1.587 eV/atom
energy = -5.65 eV/atom

---

[3]
Na7SbO2: relaxed, GGA-PBE.

Structure (POSCAR):
```
Na7SbO2
1.0
-1.171 4.045 2.177
-5.548 -3.228 3.014
6.151 -0.117 3.526
O Na Sb
2 7 1
direct
0.500 0.689 0.311
0.500 0.311 0.689
0.500 0.041 0.330
0.500 0.500 0.500
0.500 0.959 0.670
0.500 0.330 0.041
0.000 0.298 0.702
0.500 0.670 0.959
0.000 0.702 0.298
0.000 0.000 0.000
```

Output
space group = Cmmm
V = 21.17 Å³ per atom
formation energy from raw total energies = -0.841 eV/atom
energy = -3.17 eV/atom

---

[4]
Na8Sb2O: relaxed, GGA-PBE.

Structure (POSCAR):
```
Na8Sb2O
1.0
5.191 0.000 0.000
0.000 6.268 -0.203
-2.595 -2.883 8.681
O Na Sb
1 8 2
direct
0.500 0.000 0.000
0.228 0.235 0.456
0.599 0.350 0.198
0.401 0.650 0.802
0.772 0.765 0.544
0.001 0.768 0.002
0.999 0.232 0.998
0.393 0.121 0.787
0.607 0.879 0.213
0.158 0.660 0.315
0.842 0.340 0.685
```

Output
space group = C2/m
V = 25.40 Å³ per atom
formation energy from raw total energies = -0.576 eV/atom
energy = -2.74 eV/atom